PaNi2F11 after structural relaxation. Source: Alexandria via LeMat-Bulk, functional PBE with a Hubbard U.

a = 8.5102 Å, b = 7.9995 Å, c = 7.9995 Å
α = 64.58°, β = 57.86°, γ = 57.86°
Closest atoms and distances in Å follow each position.
Fractional coordinates of all 28 atoms:
F: 0.1532 0.0802 0.1892  1 Ni 2.00, 1 Pa 2.22
F: 0.1899 0.5765 0.1536  1 Ni 2.00, 1 Pa 2.22
F: 0.9200 0.8464 0.4235  1 Ni 2.00, 1 Pa 2.22
F: 0.5773 0.1892 0.0802  1 Ni 2.00, 1 Pa 2.22
F: 0.9227 0.4198 0.3108  1 Ni 2.00, 1 Pa 2.22
F: 0.3052 0.6963 0.3037  1 Ni 1.76
F: 0.6948 0.3037 0.6963  1 Ni 1.76
F: 0.5800 0.0765 0.6536  1 Ni 2.00, 1 Pa 2.22
F: 0.6532 0.6892 0.5802  1 Ni 2.00, 1 Pa 2.22
F: 0.3468 0.3108 0.4198  1 Ni 2.00, 1 Pa 2.22
F: 0.8101 0.4235 0.8464  1 Ni 2.00, 1 Pa 2.22
F: 0.1948 0.1963 0.8037  1 Ni 1.76
F: 0.6899 0.6536 0.0765  1 Ni 2.00, 1 Pa 2.22
F: 0.4200 0.9235 0.3464  1 Ni 2.00, 1 Pa 2.22
F: 0.3101 0.3464 0.9235  1 Ni 2.00, 1 Pa 2.22
F: 0.0000 0.0000 0.0000  2 Ni 1.92
F: 0.5000 0.5000 0.5000  2 Ni 1.92
F: 0.4227 0.8108 0.9198  1 Ni 2.00, 1 Pa 2.22
F: 0.8052 0.8037 0.1963  1 Ni 1.76
F: 0.0773 0.5802 0.6892  1 Ni 2.00, 1 Pa 2.22
F: 0.8468 0.9198 0.8108  1 Ni 2.00, 1 Pa 2.22
F: 0.0800 0.1536 0.5765  1 Ni 2.00, 1 Pa 2.22
Ni: 0.3413 0.3408 0.6592  2 F 1.76-1.92
Ni: 0.1587 0.8408 0.1592  2 F 1.76-1.92
Ni: 0.6587 0.6592 0.3408  2 F 1.76-1.92
Ni: 0.8413 0.1592 0.8408  2 F 1.76-1.92
Pa: 0.7500 0.7500 0.7500  8 F 2.22
Pa: 0.2500 0.2500 0.2500  8 F 2.22

Output
Total DFT energy (no corrections)   -139.41 eV/cell